DFT (PBE-GGA) results for Ca2Ag2Hg after structural relaxation.

Crystal system: tetragonal
Final energy: -22.21 eV per cell
Energy of formation: -0.22 eV/atom
Density: 6.01 g cm⁻³
Distance to the lowest polymorph of the same formula: 128.6 meV per atom

Unit cell a=8.474 b=8.474 c=3.818 alpha=90.00 beta=90.00 gamma=90.00
Space group P4/mbm (No. 127)
One atom of each set of equivalent atoms:
Ca: 0.169 0.331 0.000
Ag: 0.122 0.622 0.500
Hg: 0.000 0.000 0.000



DFT (PBE-GGA) results for Ca2AgHg2 after structural relaxation.

Crystal system: tetragonal
Final energy: -18.80 eV per cell
Energy of formation: -0.39 eV/atom
Density: 7.28 g cm⁻³
Distance to the lowest polymorph of the same formula: 30.4 meV per atom

Unit cell a=7.845 b=7.845 c=4.370 alpha=90.00 beta=90.00 gamma=90.00
Space group P4/mbm (No. 127)
One atom of each set of equivalent atoms:
Ca: 0.169 0.331 0.000
Ag: 0.000 0.000 0.500
Hg: 0.135 0.635 0.500



DFT (PBE-GGA) results for CaAgHg2 after structural relaxation.

Crystal system: monoclinic
Final energy: -13.19 eV per cell
Energy of formation: -0.28 eV/atom
Density: 9.46 g cm⁻³

Unit cell a=6.502 b=6.547 c=4.531 alpha=90.00 beta=90.46 gamma=90.00
Space group C2/m (No. 12)
One atom of each set of equivalent atoms:
Ca: 0.000 0.000 0.000
Ag: 0.000 0.500 0.000
Hg: 0.250 0.250 0.500